(1)
Compound: SnPHS
Source: Alexandria via LeMat-Bulk
Functional: GGA-PBE
Structure: optimized geometry

Lattice parameters (Å, degrees): 3.8938 3.9303 4.9157 90.00 98.08 90.00
Closest atoms and distances in Å follow each position.
Atoms (fractional coordinates):
Sn 0.2178 0.5000 0.7197  1 H 1.77
P 0.7528 0.0000 0.9000  1 S 2.01
H 0.3389 0.5000 0.3856  1 Sn 1.77
S 0.7796 0.0000 0.3105  1 P 2.01

Output
Final energy (eV per formula unit): -15.97
Crystal system: monoclinic

***

(2)
Compound: DyPuSbSe
Source: Alexandria via LeMat-Bulk
Functional: GGA-PBE
Structure: optimized geometry

Lattice parameters (Å, degrees): 4.2772 4.2772 7.3592 73.11 73.11 60.00
Closest atoms and distances in Å follow each position.
Atoms (fractional coordinates):
Dy 0.1897 0.1897 0.4310  3 Se 2.95, 3 Sb 3.06
Pu 0.6989 0.6989 0.9032  3 Se 2.97, 3 Sb 3.09
Sb 0.9428 0.9428 0.1716  3 Dy 3.06, 3 Pu 3.09
Se 0.4450 0.4450 0.6650  3 Dy 2.95, 3 Pu 2.97

Output
Final energy (eV per formula unit): -31.65
Crystal system: trigonal

***

(3)
Compound: VFe8Co2
Source: Alexandria via LeMat-Bulk
Functional: GGA-PBE
Structure: optimized geometry

Lattice parameters (Å, degrees): 4.1683 6.0628 6.0628 82.33 78.18 78.18
Closest atoms and distances in Å follow each position.
Atoms (fractional coordinates):
V 0.0000 0.0000 0.0000  2 Co 2.25, 6 Fe 2.41
Fe 0.2046 0.3424 0.8461  3 Fe 2.33-2.59, 1 Co 2.37, 1 V 2.41
Fe 0.7954 0.1539 0.6576  3 Fe 2.33-2.59, 1 Co 2.37, 1 V 2.41
Fe 0.1038 0.7271 0.7271  4 Fe 2.33-2.49, 2 Co 2.35-2.39, 1 V 2.41
Fe 0.8962 0.2729 0.2729  4 Fe 2.33-2.49, 2 Co 2.35-2.39, 1 V 2.41
Fe 0.2046 0.8461 0.3424  3 Fe 2.33-2.59, 1 Co 2.37, 1 V 2.41
Fe 0.7954 0.6576 0.1539  3 Fe 2.33-2.59, 1 Co 2.37, 1 V 2.41
Fe 0.7009 0.5770 0.5770  7 Fe 2.44-2.67, 1 Co 2.45
Fe 0.2991 0.4230 0.4230  7 Fe 2.44-2.67, 1 Co 2.45
Co 0.5319 0.8557 0.8557  1 V 2.25, 5 Fe 2.35-2.45
Co 0.4681 0.1443 0.1443  1 V 2.25, 5 Fe 2.35-2.45

Output
Energy relative to the elements (eV/atom): 0.476
Crystal system: monoclinic

***

(4)
Compound: Pm4CoHBr2
Source: Alexandria via LeMat-Bulk
Functional: GGA-PBE
Structure: optimized geometry

Lattice parameters (Å, degrees): 3.9203 6.6541 7.9461 106.12 90.00 90.00
Closest atoms and distances in Å follow each position.
Atoms (fractional coordinates):
Pm 0.5000 0.2399 0.1898  1 H 2.59, 2 Co 2.71
Pm 0.5000 0.7601 0.8102  1 H 2.59, 2 Co 2.71
Pm 0.0000 0.2661 0.8055  1 Co 2.65, 2 H 2.70
Pm 0.0000 0.7339 0.1945  1 Co 2.65, 2 H 2.70
Co 0.0000 0.0000 0.0000  6 Pm 2.65-2.71
H 0.5000 0.5000 0.0000  6 Pm 2.59-2.70
Br 0.5000 0.0000 0.5000  6 Pm 3.24-3.29
Br 0.0000 0.5000 0.5000  6 Pm 3.23-3.25

Output
Final energy (eV per formula unit): -38.61
Crystal system: monoclinic

***

(5)
Compound: TaTl3Cl
Source: Alexandria via LeMat-Bulk
Functional: GGA-PBE
Structure: optimized geometry

Lattice parameters (Å, degrees): 5.6424 5.6424 5.6424 90.00 90.00 90.00
Closest atoms and distances in Å follow each position.
Atoms (fractional coordinates):
Tl 0.0000 0.5000 0.0000  2 Cl 2.82
Tl 0.0000 0.0000 0.5000  2 Cl 2.82
Tl 0.5000 0.0000 0.0000  2 Cl 2.82
Cl 0.0000 0.0000 0.0000  6 Tl 2.82
Ta 0.5000 0.5000 0.5000  12 Tl 3.99

Output
Final energy (eV per formula unit): -15.61
Crystal system: cubic

***

(6)
Compound: NdFe2Ni5
Source: Alexandria via LeMat-Bulk
Functional: GGA-PBE
Structure: optimized geometry

Lattice parameters (Å, degrees): 3.7222 5.9632 5.9632 67.94 71.81 71.81
Closest atoms and distances in Å follow each position.
Atoms (fractional coordinates):
Nd 0.0000 0.0000 0.0000  4 Fe 2.97, 8 Ni 3.11
Fe 0.7530 0.7470 0.7470  7 Ni 2.26-2.42
Fe 0.2470 0.2530 0.2530  7 Ni 2.26-2.42
Ni 0.0000 0.5000 0.5000  2 Fe 2.26
Ni 0.6448 0.5398 0.1706  3 Fe 2.32-2.42, 3 Ni 2.46-2.60
Ni 0.3552 0.4602 0.8294  3 Fe 2.32-2.42, 3 Ni 2.46-2.60
Ni 0.3552 0.8294 0.4602  3 Fe 2.32-2.42, 3 Ni 2.46-2.60
Ni 0.6448 0.1706 0.5398  3 Fe 2.32-2.42, 3 Ni 2.46-2.60

Output
Energy relative to the elements (eV/atom): 0.012
Crystal system: orthorhombic

***

(7)
Compound: BiTeS
Source: Alexandria via LeMat-Bulk
Functional: GGA-PBE
Structure: optimized geometry

Lattice parameters (Å, degrees): 4.3530 5.7882 8.0788 99.43 105.63 89.97
Closest atoms and distances in Å follow each position.
Atoms (fractional coordinates):
Bi 0.1704 0.7630 0.3407  3 S 2.62-2.89
Bi 0.8296 0.2370 0.6593  3 S 2.62-2.89
Te 0.4788 0.2400 0.9577  2 Te 2.96-2.97, 2 Bi 3.18
Te 0.5212 0.7600 0.0423  2 Te 2.96-2.97, 2 Bi 3.18
S 0.7933 0.7784 0.5863  3 Bi 2.62-2.89
S 0.2067 0.2216 0.4137  3 Bi 2.62-2.89

Output
Final energy (eV per formula unit): -11.84
Crystal system: monoclinic

***

(8)
Compound: NaAcTc
Source: Alexandria via LeMat-Bulk
Functional: GGA-PBE
Structure: optimized geometry

Lattice parameters (Å, degrees): 4.1860 4.1857 14.5038 89.95 81.81 59.98
Closest atoms and distances in Å follow each position.
Atoms (fractional coordinates):
Na 0.5697 0.9843 0.6856  9 Na 3.85-4.19, 3 Ac 4.16-4.17
Na 0.7589 0.3921 0.8960  9 Na 3.85-4.19, 3 Ac 4.16
Ac 0.0616 0.2400 0.4488  6 Tc 3.14-3.49
Ac 0.2707 0.1360 0.1328  6 Tc 3.14-3.49
Tc 0.8210 0.8605 0.3086  3 Tc 2.47
Tc 0.5115 0.5154 0.2729  3 Tc 2.47

Output
Energy relative to the elements (eV/atom): 0.037
Crystal system: triclinic

***

(9)
Compound: MnFeC
Source: Alexandria via LeMat-Bulk
Functional: GGA-PBE
Structure: optimized geometry

Lattice parameters (Å, degrees): 4.9312 4.4813 5.7064 90.00 90.00 112.04
Closest atoms and distances in Å follow each position.
Atoms (fractional coordinates):
Mn 0.0031 0.7494 0.1277  3 C 1.94-1.96
Mn 0.4969 0.2506 0.6277  3 C 1.94-1.96
Mn 0.9969 0.2506 0.8723  3 C 1.94-1.96
Mn 0.5031 0.7494 0.3723  3 C 1.94-1.96
C 0.2478 0.4921 0.1252  3 Fe 1.93-1.94, 3 Mn 1.94-1.96
C 0.2522 0.5079 0.6252  3 Fe 1.93-1.94, 3 Mn 1.94-1.96
C 0.7522 0.5079 0.8748  3 Fe 1.93-1.94, 3 Mn 1.94-1.96
C 0.7478 0.4921 0.3748  3 Fe 1.93-1.94, 3 Mn 1.94-1.96
Fe 0.5010 0.2532 0.1225  3 C 1.93-1.94
Fe 0.9990 0.7468 0.6225  3 C 1.93-1.94
Fe 0.4990 0.7468 0.8775  3 C 1.93-1.94
Fe 0.0010 0.2532 0.3775  3 C 1.93-1.94

Output
Energy relative to the elements (eV/atom): 0.101
Crystal system: monoclinic

***

(10)
Compound: Tb3Pm5As8
Source: Alexandria via LeMat-Bulk
Functional: GGA-PBE
Structure: optimized geometry

Lattice parameters (Å, degrees): 8.4040 8.4040 8.4012 59.99 59.99 60.00
Closest atoms and distances in Å follow each position.
Atoms (fractional coordinates):
Tb 0.5000 0.0000 0.5000  6 As 2.95
Tb 0.0000 0.0000 0.5000  6 As 2.95
Tb 0.0000 0.5000 0.5000  6 As 2.95
Pm 0.5000 0.0000 0.0000  6 As 2.99-3.00
Pm 0.5000 0.5000 0.0000  6 As 2.99-3.00
Pm 0.0000 0.0000 0.0000  6 As 2.97
Pm 0.0000 0.5000 0.0000  6 As 2.99-3.00
Pm 0.5000 0.5000 0.5000  6 As 2.97
As 0.2500 0.2500 0.7459  2 Tb 2.95, 4 Pm 2.97-3.00
As 0.2500 0.7541 0.7459  2 Tb 2.95, 4 Pm 2.97-3.00
As 0.7541 0.2500 0.7459  2 Tb 2.95, 4 Pm 2.97-3.00
As 0.7520 0.7520 0.7440  3 Tb 2.95, 3 Pm 2.99
As 0.7500 0.7500 0.2541  2 Tb 2.95, 4 Pm 2.97-3.00
As 0.7500 0.2459 0.2541  2 Tb 2.95, 4 Pm 2.97-3.00
As 0.2459 0.7500 0.2541  2 Tb 2.95, 4 Pm 2.97-3.00
As 0.2480 0.2480 0.2560  3 Tb 2.95, 3 Pm 2.99

Output
Energy relative to the elements (eV/atom): -1.529
Crystal system: trigonal

***

(11)
Compound: RbBa2Na16
Source: Alexandria via LeMat-Bulk
Functional: GGA-PBE
Structure: optimized geometry

Lattice parameters (Å, degrees): 9.3885 9.3885 9.3885 82.73 82.73 82.73
Closest atoms and distances in Å follow each position.
Atoms (fractional coordinates):
Rb 0.8994 0.8994 0.8994  7 Na 3.83-4.06
Ba 0.6400 0.6400 0.6400  12 Na 4.25-4.39, 1 Rb 4.72
Ba 0.3431 0.3431 0.3431  19 Na 4.24-4.71
Na 0.6897 0.9998 0.3150  8 Na 3.59-3.91
Na 0.9998 0.3150 0.6897  8 Na 3.59-3.91
Na 0.3150 0.6897 0.9998  8 Na 3.59-3.91
Na 0.9998 0.6897 0.3150  8 Na 3.59-3.91
Na 0.6897 0.3150 0.9998  8 Na 3.59-3.91
Na 0.3150 0.9998 0.6897  8 Na 3.59-3.91
Na 0.3469 0.8441 0.3469  9 Na 3.50-3.82
Na 0.8441 0.3469 0.3469  9 Na 3.50-3.82
Na 0.3469 0.3469 0.8441  9 Na 3.50-3.82
Na 0.6426 0.1714 0.6426  8 Na 3.51-3.86
Na 0.1714 0.6426 0.6426  8 Na 3.51-3.86
Na 0.6426 0.6426 0.1714  8 Na 3.51-3.86
Na 0.0109 0.4823 0.0109  9 Na 3.50-3.80
Na 0.4823 0.0109 0.0109  9 Na 3.50-3.80
Na 0.0109 0.0109 0.4823  9 Na 3.50-3.80
Na 0.1101 0.1101 0.1101  6 Na 3.54-3.82, 1 Rb 3.83

Output
Energy relative to the elements (eV/atom): 0.022
Crystal system: trigonal

***

(12)
Compound: Ta3VCl
Source: Alexandria via LeMat-Bulk
Functional: GGA-PBE
Structure: optimized geometry

Lattice parameters (Å, degrees): 4.5186 4.5186 4.5186 90.00 90.00 90.00
Closest atoms and distances in Å follow each position.
Atoms (fractional coordinates):
V 0.5000 0.5000 0.5000  12 Ta 3.20
Ta 0.0000 0.5000 0.0000  2 Cl 2.26
Ta 0.0000 0.0000 0.5000  2 Cl 2.26
Ta 0.5000 0.0000 0.0000  2 Cl 2.26
Cl 0.0000 0.0000 0.0000  6 Ta 2.26

Output
Final energy (eV per formula unit): -41.63
Crystal system: cubic

***

(13)
Compound: K2YCr
Source: Alexandria via LeMat-Bulk
Functional: GGA-PBE
Structure: optimized geometry

Lattice parameters (Å, degrees): 3.8501 3.8511 11.1651 90.00 90.00 90.00
Closest atoms and distances in Å follow each position.
Atoms (fractional coordinates):
Cr 0.5000 0.5000 0.7024  4 Y 3.05
K 0.0000 0.0000 0.9299  4 Cr 3.72, 4 K 3.85, 1 Y 3.92
K 0.5000 0.5000 0.2887  4 K 3.85, 4 Y 4.23
Y 0.0000 0.0000 0.5790  4 Cr 3.05

Output
Energy relative to the elements (eV/atom): 0.570
Crystal system: tetragonal

***

(14)
Compound: Tl2CuH2
Source: Alexandria via LeMat-Bulk
Functional: GGA-PBE
Structure: optimized geometry

Lattice parameters (Å, degrees): 5.9622 5.9622 4.8192 90.00 90.00 90.00
Closest atoms and distances in Å follow each position.
Atoms (fractional coordinates):
H 0.2536 0.7536 0.0000  2 Cu 2.11
H 0.7536 0.7464 0.0000  2 Cu 2.11
H 0.7464 0.2464 0.0000  2 Cu 2.11
H 0.2464 0.2536 0.0000  2 Cu 2.11
Tl 0.1905 0.6905 0.5000  2 H 2.47
Tl 0.6905 0.8095 0.5000  2 H 2.47
Tl 0.8095 0.3095 0.5000  2 H 2.47
Tl 0.3095 0.1905 0.5000  2 H 2.47
Cu 0.0000 0.0000 0.0000  4 H 2.11
Cu 0.5000 0.5000 0.0000  4 H 2.11

Output
Final energy (eV per formula unit): -13.02
Crystal system: tetragonal

***

(15)
Compound: Li2YBiCl
Source: Alexandria via LeMat-Bulk
Functional: GGA-PBE
Structure: optimized geometry

Lattice parameters (Å, degrees): 5.0881 6.0613 5.0881 90.00 90.00 90.00
Closest atoms and distances in Å follow each position.
Atoms (fractional coordinates):
Y 0.0000 0.5000 0.0000  2 Bi 3.03
Li 0.0000 0.0000 0.5000  2 Bi 2.54
Li 0.5000 0.0000 0.0000  2 Bi 2.54
Bi 0.0000 0.0000 0.0000  4 Li 2.54
Cl 0.5000 0.5000 0.5000  4 Y 3.60, 8 Li 3.96

Output
Final energy (eV per formula unit): -18.19
Crystal system: tetragonal

***

(16)
Compound: MgSi2P
Source: Alexandria via LeMat-Bulk
Functional: GGA-PBE
Structure: optimized geometry

Lattice parameters (Å, degrees): 3.6065 3.7793 4.7943 90.00 90.00 90.00
Closest atoms and distances in Å follow each position.
Atoms (fractional coordinates):
Mg 0.5000 0.0000 0.5000  4 P 2.61
P 0.0000 0.5000 0.5000  4 Mg 2.61
Si 0.0000 0.0000 0.0000  4 Si 2.61
Si 0.5000 0.5000 0.0000  4 Si 2.61

Output
Final energy (eV per formula unit): -16.93
Crystal system: orthorhombic

***

(17)
Compound: FeRe3
Source: Alexandria via LeMat-Bulk
Functional: GGA-PBE
Structure: optimized geometry

Lattice parameters (Å, degrees): 2.7391 8.9267 2.7391 81.17 120.00 98.83
Closest atoms and distances in Å follow each position.
Atoms (fractional coordinates):
Fe 0.0000 0.0000 0.0000  6 Re 2.64, 6 Fe 2.74
Re 0.2529 0.7587 0.7471  3 Fe 2.64, 9 Re 2.74-2.77
Re 0.5000 0.5000 0.5000  12 Re 2.74-2.77
Re 0.7471 0.2413 0.2529  3 Fe 2.64, 9 Re 2.74-2.77

Output
Energy relative to the elements (eV/atom): 0.118
Crystal system: trigonal

***

(18)
Compound: AlZnAgGe
Source: Alexandria via LeMat-Bulk
Functional: GGA-PBE
Structure: optimized geometry

Lattice parameters (Å, degrees): 4.6343 4.6343 4.6343 60.00 60.00 60.00
Closest atoms and distances in Å follow each position.
Atoms (fractional coordinates):
Ge 0.2500 0.2500 0.2500  4 Al 2.84, 4 Zn 2.84
Zn 0.5000 0.5000 0.5000  4 Ge 2.84, 4 Ag 2.84
Ag 0.7500 0.7500 0.7500  4 Al 2.84, 4 Zn 2.84
Al 0.0000 0.0000 0.0000  4 Ge 2.84, 4 Ag 2.84

Output
Energy relative to the elements (eV/atom): 0.178
Crystal system: cubic

***

(19)
Compound: Y4Ho4Cd
Source: Alexandria via LeMat-Bulk
Functional: GGA-PBE
Structure: optimized geometry

Lattice parameters (Å, degrees): 4.8998 7.8672 7.8672 84.44 71.86 71.86
Closest atoms and distances in Å follow each position.
Atoms (fractional coordinates):
Y 0.6632 0.6735 0.0000  4 Y 3.45-3.57, 2 Cd 3.46, 6 Ho 3.51-3.56
Y 0.3368 0.3265 0.0000  4 Y 3.45-3.57, 2 Cd 3.46, 6 Ho 3.51-3.56
Y 0.6632 0.0000 0.6735  4 Y 3.45-3.57, 2 Cd 3.46, 6 Ho 3.51-3.56
Y 0.3368 0.0000 0.3265  4 Y 3.45-3.57, 2 Cd 3.46, 6 Ho 3.51-3.56
Ho 0.6641 0.3359 0.3359  5 Ho 3.47, 6 Y 3.51-3.56, 1 Cd 3.55
Ho 0.3359 0.6641 0.6641  5 Ho 3.47, 6 Y 3.51-3.56, 1 Cd 3.55
Ho 0.0000 0.6641 0.3359  5 Ho 3.47, 6 Y 3.51-3.56, 1 Cd 3.55
Ho 0.0000 0.3359 0.6641  5 Ho 3.47, 6 Y 3.51-3.56, 1 Cd 3.55
Cd 0.0000 0.0000 0.0000  8 Y 3.46, 4 Ho 3.55

Output
Energy relative to the elements (eV/atom): -0.009
Crystal system: tetragonal

***

(20)
Compound: CsKPb2S
Source: Alexandria via LeMat-Bulk
Functional: GGA-PBE
Structure: optimized geometry

Lattice parameters (Å, degrees): 6.0931 6.8320 6.0931 90.00 90.00 90.00
Closest atoms and distances in Å follow each position.
Atoms (fractional coordinates):
Pb 0.0000 0.0000 0.5000  2 K 3.05
Pb 0.5000 0.0000 0.0000  2 K 3.05
Cs 0.0000 0.5000 0.0000  2 K 3.42
K 0.0000 0.0000 0.0000  4 Pb 3.05
S 0.5000 0.5000 0.5000  4 Cs 4.31, 8 Pb 4.58

Output
Final energy (eV per formula unit): -9.64
Crystal system: tetragonal